No. 1
This record from Alexandria describes a relaxed LiLa2Sc crystal. The functional is PBE-GGA.

```
LiLa2Sc
1.0
3.379 -0.007 0.000
-1.376 3.086 0.000
0.000 0.000 11.485
La Sc Li
2 1 1
Cartesian
1.002 1.540 3.076
0.000 0.000 11.259
1.002 1.540 8.442
0.000 0.000 5.935
```

## Properties
Space group   Cmm2, No. 35
Distance to the lowest polymorph of the same formula   0.101 eV per atom
Energy of formation   0.189 eV/atom
Magnetization   0.001 μB/f.u.
DFT total energy   -17.3 eV/cell



No. 2
This record from Alexandria describes a relaxed Os2W crystal. The functional is PBE-GGA.

```
Os2W
1.0
-3.459 -0.460 3.343
-0.861 -1.244 -4.589
1.382 -4.135 0.861
W Os
2 4
Cartesian
-2.521 -4.504 -0.381
-0.417 -1.335 -0.005
-0.833 -3.533 1.573
0.045 -3.798 -1.107
-2.983 -2.041 0.722
-2.105 -2.306 -1.959
```

## Properties
Space group   Cmcm, No. 63
Distance to the lowest polymorph of the same formula   0.039 eV per atom
Energy of formation   0.039 eV/atom
Magnetization   0.000 μB/f.u.
DFT total energy   -70.6 eV/cell



The lowest magnetization belongs to which entry? Os2W



Among the records above, which one has the highest DFT total energy? LiLa2Sc



Among the records above, which one has the lowest magnetization? Os2W